# Be2Ir | the Open Quantum Materials Database | PBE | optimized geometry
data_Be2Ir
_chemical_formula_sum 'Be4 Ir2'
_space_group_name_H-M_alt 'P 1'
_space_group_IT_number 1
_cell_length_a 6.873
_cell_length_b 6.873
_cell_length_c 6.873
_cell_angle_alpha 60.00
_cell_angle_beta 60.00
_cell_angle_gamma 60.00
loop_
_space_group_symop_operation_xyz
'x,y,z'
loop_
_atom_site_label
_atom_site_fract_x
_atom_site_fract_y
_atom_site_fract_z
Be1 0.000 0.000 0.000
Be2 0.000 0.000 0.500
Be3 0.000 0.500 0.000
Be4 0.500 0.000 0.000
Ir1 0.125 0.125 0.125
Ir2 0.875 0.875 0.875
# **Total energy**: -4.21 eV/atom

=====

# Be7Ir4 | the Open Quantum Materials Database | PBE | optimized geometry
data_Be7Ir4
_chemical_formula_sum 'Be35 Ir20'
_space_group_name_H-M_alt 'P 1'
_space_group_IT_number 1
_cell_length_a 11.177
_cell_length_b 11.177
_cell_length_c 11.956
_cell_angle_alpha 103.45
_cell_angle_beta 103.45
_cell_angle_gamma 22.73
loop_
_space_group_symop_operation_xyz
'x,y,z'
loop_
_atom_site_label
_atom_site_fract_x
_atom_site_fract_y
_atom_site_fract_z
Be1 0.000 0.000 0.000
Be2 0.000 0.500 0.000
Be3 0.013 0.523 0.325
Be4 0.079 0.079 0.906
Be5 0.131 0.653 0.608
Be6 0.164 0.654 0.933
Be7 0.170 0.170 0.032
Be8 0.181 0.680 0.255
Be9 0.259 0.259 0.163
Be10 0.310 0.310 0.639
Be11 0.320 0.819 0.745
Be12 0.329 0.329 0.466
Be13 0.346 0.836 0.067
Be14 0.347 0.869 0.392
Be15 0.349 0.349 0.288
Be16 0.399 0.399 0.772
Be17 0.477 0.987 0.675
Be18 0.480 0.480 0.686
Be19 0.500 0.000 0.000
Be20 0.520 0.520 0.314
Be21 0.523 0.013 0.325
Be22 0.601 0.601 0.228
Be23 0.651 0.651 0.712
Be24 0.653 0.131 0.608
Be25 0.654 0.164 0.933
Be26 0.671 0.671 0.534
Be27 0.680 0.181 0.255
Be28 0.690 0.690 0.361
Be29 0.741 0.741 0.837
Be30 0.819 0.320 0.745
Be31 0.830 0.830 0.968
Be32 0.836 0.346 0.067
Be33 0.869 0.347 0.392
Be34 0.921 0.921 0.094
Be35 0.987 0.477 0.675
Ir1 0.009 0.009 0.400
Ir2 0.042 0.042 0.202
Ir3 0.121 0.121 0.591
Ir4 0.166 0.166 0.250
Ir5 0.176 0.176 0.818
Ir6 0.213 0.213 0.483
Ir7 0.304 0.304 0.855
Ir8 0.357 0.357 0.082
Ir9 0.439 0.439 0.451
Ir10 0.481 0.481 0.103
Ir11 0.519 0.519 0.897
Ir12 0.561 0.561 0.549
Ir13 0.643 0.643 0.918
Ir14 0.696 0.696 0.145
Ir15 0.787 0.787 0.517
Ir16 0.824 0.824 0.182
Ir17 0.834 0.834 0.750
Ir18 0.879 0.879 0.409
Ir19 0.958 0.958 0.798
Ir20 0.991 0.991 0.600
# **Total energy**: -5.97 eV/atom

=====

# Be2Ir | the Open Quantum Materials Database | PBE | optimized geometry
data_Be2Ir
_chemical_formula_sum 'Be4 Ir2'
_space_group_name_H-M_alt 'P 1'
_space_group_IT_number 1
_cell_length_a 6.061
_cell_length_b 6.061
_cell_length_c 3.658
_cell_angle_alpha 90.00
_cell_angle_beta 90.00
_cell_angle_gamma 152.85
loop_
_space_group_symop_operation_xyz
'x,y,z'
loop_
_atom_site_label
_atom_site_fract_x
_atom_site_fract_y
_atom_site_fract_z
Be1 0.065 0.935 0.750
Be2 0.264 0.736 0.250
Be3 0.736 0.264 0.750
Be4 0.935 0.065 0.250
Ir1 0.398 0.602 0.750
Ir2 0.602 0.398 0.250
# **Total energy**: -6.04 eV/atom

=====

# Be2Ir | the Open Quantum Materials Database | PBE | optimized geometry
data_Be2Ir
_chemical_formula_sum 'Be4 Ir2'
_space_group_name_H-M_alt 'P 1'
_space_group_IT_number 1
_cell_length_a 4.373
_cell_length_b 4.373
_cell_length_c 4.373
_cell_angle_alpha 60.00
_cell_angle_beta 60.00
_cell_angle_gamma 60.00
loop_
_space_group_symop_operation_xyz
'x,y,z'
loop_
_atom_site_label
_atom_site_fract_x
_atom_site_fract_y
_atom_site_fract_z
Be1 0.000 0.000 0.000
Be2 0.000 0.000 0.500
Be3 0.000 0.500 0.000
Be4 0.500 0.000 0.000
Ir1 0.375 0.375 0.375
Ir2 0.625 0.625 0.625
# **Total energy**: -5.88 eV/atom

=====

# BeIr5 | the Open Quantum Materials Database | PBE | optimized geometry
data_BeIr5
_chemical_formula_sum 'Be1 Ir5'
_space_group_name_H-M_alt 'P 1'
_space_group_IT_number 1
_cell_length_a 5.044
_cell_length_b 5.044
_cell_length_c 4.504
_cell_angle_alpha 90.00
_cell_angle_beta 90.00
_cell_angle_gamma 120.00
loop_
_space_group_symop_operation_xyz
'x,y,z'
loop_
_atom_site_label
_atom_site_fract_x
_atom_site_fract_y
_atom_site_fract_z
Be1 0.000 0.000 0.000
Ir1 0.000 0.500 0.500
Ir2 0.333 0.667 0.000
Ir3 0.500 0.000 0.500
Ir4 0.500 0.500 0.500
Ir5 0.667 0.333 0.000
# **Total energy**: -7.31 eV/atom

=====

# KBeIr | the Open Quantum Materials Database | PBE | optimized geometry
data_KBeIr
_chemical_formula_sum 'K1 Be1 Ir1'
_space_group_name_H-M_alt 'P 1'
_space_group_IT_number 1
_cell_length_a 4.412
_cell_length_b 4.412
_cell_length_c 4.412
_cell_angle_alpha 60.00
_cell_angle_beta 60.00
_cell_angle_gamma 60.00
loop_
_space_group_symop_operation_xyz
'x,y,z'
loop_
_atom_site_label
_atom_site_fract_x
_atom_site_fract_y
_atom_site_fract_z
K1 0.000 0.000 0.000
Be1 0.500 0.500 0.500
Ir1 0.750 0.750 0.750
# **Total energy**: -3.35 eV/atom

=====

# KBeIr | the Open Quantum Materials Database | PBE | optimized geometry
data_KBeIr
_chemical_formula_sum 'K1 Be1 Ir1'
_space_group_name_H-M_alt 'P 1'
_space_group_IT_number 1
_cell_length_a 4.606
_cell_length_b 4.606
_cell_length_c 4.606
_cell_angle_alpha 60.00
_cell_angle_beta 60.00
_cell_angle_gamma 60.00
loop_
_space_group_symop_operation_xyz
'x,y,z'
loop_
_atom_site_label
_atom_site_fract_x
_atom_site_fract_y
_atom_site_fract_z
K1 0.000 0.000 0.000
Be1 0.750 0.750 0.750
Ir1 0.250 0.250 0.250
# **Total energy**: -2.31 eV/atom

=====

# KBeIr | the Open Quantum Materials Database | PBE | optimized geometry
data_KBeIr
_chemical_formula_sum 'K1 Be1 Ir1'
_space_group_name_H-M_alt 'P 1'
_space_group_IT_number 1
_cell_length_a 4.357
_cell_length_b 4.357
_cell_length_c 4.357
_cell_angle_alpha 60.00
_cell_angle_beta 60.00
_cell_angle_gamma 60.00
loop_
_space_group_symop_operation_xyz
'x,y,z'
loop_
_atom_site_label
_atom_site_fract_x
_atom_site_fract_y
_atom_site_fract_z
K1 0.000 0.000 0.000
Be1 0.750 0.750 0.750
Ir1 0.500 0.500 0.500
# **Total energy**: -3.41 eV/atom

=====

# KBeIrSe3 | the Open Quantum Materials Database | PBE | optimized geometry
data_KBeIrSe3
_chemical_formula_sum 'K2 Be2 Ir2 Se6'
_space_group_name_H-M_alt 'P 1'
_space_group_IT_number 1
_cell_length_a 7.594
_cell_length_b 7.594
_cell_length_c 9.669
_cell_angle_alpha 90.00
_cell_angle_beta 90.00
_cell_angle_gamma 150.62
loop_
_space_group_symop_operation_xyz
'x,y,z'
loop_
_atom_site_label
_atom_site_fract_x
_atom_site_fract_y
_atom_site_fract_z
K1 0.249 0.751 0.750
K2 0.751 0.249 0.250
Be1 0.471 0.529 0.250
Be2 0.529 0.471 0.750
Ir1 0.000 0.000 0.000
Ir2 0.000 0.000 0.500
Se1 0.062 0.938 0.250
Se2 0.392 0.608 0.054
Se3 0.392 0.608 0.446
Se4 0.608 0.392 0.554
Se5 0.608 0.392 0.946
Se6 0.938 0.062 0.750
# **Total energy**: -4.63 eV/atom

=====

# KBeTe3Ir | the Open Quantum Materials Database | PBE | optimized geometry
data_KBeTe3Ir
_chemical_formula_sum 'K2 Be2 Te6 Ir2'
_space_group_name_H-M_alt 'P 1'
_space_group_IT_number 1
_cell_length_a 8.059
_cell_length_b 8.059
_cell_length_c 10.481
_cell_angle_alpha 90.00
_cell_angle_beta 90.00
_cell_angle_gamma 150.49
loop_
_space_group_symop_operation_xyz
'x,y,z'
loop_
_atom_site_label
_atom_site_fract_x
_atom_site_fract_y
_atom_site_fract_z
K1 0.246 0.754 0.750
K2 0.754 0.246 0.250
Be1 0.466 0.534 0.250
Be2 0.534 0.466 0.750
Te1 0.060 0.940 0.250
Te2 0.391 0.609 0.046
Te3 0.391 0.609 0.454
Te4 0.609 0.391 0.546
Te5 0.609 0.391 0.954
Te6 0.940 0.060 0.750
Ir1 0.000 0.000 0.000
Ir2 0.000 0.000 0.500
# **Total energy**: -4.22 eV/atom

=====

# LaBe2Ir2 | the Open Quantum Materials Database | PBE | optimized geometry
data_LaBe2Ir2
_chemical_formula_sum 'La1 Be2 Ir2'
_space_group_name_H-M_alt 'P 1'
_space_group_IT_number 1
_cell_length_a 5.567
_cell_length_b 5.567
_cell_length_c 5.567
_cell_angle_alpha 135.55
_cell_angle_beta 135.55
_cell_angle_gamma 64.68
loop_
_space_group_symop_operation_xyz
'x,y,z'
loop_
_atom_site_label
_atom_site_fract_x
_atom_site_fract_y
_atom_site_fract_z
La1 0.000 0.000 0.000
Be1 0.339 0.339 0.000
Be2 0.661 0.661 0.000
Ir1 0.250 0.750 0.500
Ir2 0.750 0.250 0.500
# **Total energy**: -6.65 eV/atom

=====

# LaBeIrPb | the Open Quantum Materials Database | PBE | optimized geometry
data_LaBeIrPb
_chemical_formula_sum 'La1 Be1 Ir1 Pb1'
_space_group_name_H-M_alt 'P 1'
_space_group_IT_number 1
_cell_length_a 4.901
_cell_length_b 4.901
_cell_length_c 4.901
_cell_angle_alpha 60.00
_cell_angle_beta 60.00
_cell_angle_gamma 60.00
loop_
_space_group_symop_operation_xyz
'x,y,z'
loop_
_atom_site_label
_atom_site_fract_x
_atom_site_fract_y
_atom_site_fract_z
La1 0.000 0.000 0.000
Be1 0.750 0.750 0.750
Ir1 0.250 0.250 0.250
Pb1 0.500 0.500 0.500
# **Total energy**: -5.27 eV/atom